A plane-wave DFT calculation with GGA-PBE was carried out for CrCoNi5 after structural relaxation.

Cell and atoms, written as POSCAR:
```
CrCoNi5
1.0
3.519 0.000 0.000
0.000 3.519 0.000
0.000 0.000 6.681
Cr Co Ni
1 1 5
Direct
0.000 0.000 0.000 Cr
0.500 0.500 0.500 Co
0.000 0.500 0.263 Ni
0.000 0.500 0.737 Ni
0.500 0.000 0.263 Ni
0.500 0.000 0.737 Ni
0.500 0.500 0.000 Ni
```

Results
Energy above the lowest structure with this stoichiometry: 0.0 meV/atom
V: 11.82 Å³/atom
Electronic total energy: -44.16 eV/cell

***

A plane-wave DFT calculation with GGA-PBE was carried out for CrCo2NiOs after structural relaxation.

Cell and atoms, written as POSCAR:
```
CrCo2NiOs
1.0
4.466 0.000 0.000
0.000 4.466 0.000
0.000 0.000 4.389
Cr Co Ni Os
1 2 1 1
Direct
0.000 0.000 0.000 Cr
0.000 0.500 0.500 Co
0.500 0.000 0.500 Co
0.500 0.500 0.000 Ni
0.000 0.000 0.500 Os
```

Results
V: 17.51 Å³/atom
Electronic total energy: -32.22 eV/cell

***

Copy entry 2 word for word.
A plane-wave DFT calculation with GGA-PBE was carried out for CrCo2NiOs after structural relaxation.

Cell and atoms, written as POSCAR:
```
CrCo2NiOs
1.0
4.466 0.000 0.000
0.000 4.466 0.000
0.000 0.000 4.389
Cr Co Ni Os
1 2 1 1
Direct
0.000 0.000 0.000 Cr
0.000 0.500 0.500 Co
0.500 0.000 0.500 Co
0.500 0.500 0.000 Ni
0.000 0.000 0.500 Os
```

Results
V: 17.51 Å³/atom
Electronic total energy: -32.22 eV/cell